Computed, not measured: CdAgNO2 after structural relaxation at the GGA-PBE level of DFT.

a b c (Å): 4.1694 4.1694 3.9639
angles (deg): 90.00 90.00 90.00
Closest atoms and distances in Å follow each position.
Fractional positions:
Cd 0.0000 0.0000 0.0000  8 O 2.88, 4 N 2.95
Ag 0.5000 0.5000 0.5000  2 N 1.98, 4 O 2.08
N 0.5000 0.5000 0.0000  2 Ag 1.98
O 0.0000 0.5000 0.5000  2 Ag 2.08
O 0.5000 0.0000 0.5000  2 Ag 2.08

Properties
Raw formation energy   838 meV per atom
N(E_F)   0.60 states/eV per atom

Computed, not measured: CdAgNO2 after structural relaxation at the GGA-PBE level of DFT.

a b c (Å): 4.2608 4.2608 4.2691
angles (deg): 90.00 90.00 90.00
Closest atoms and distances in Å follow each position.
Fractional positions:
Cd 0.0000 0.0000 0.0000  4 O 2.13, 2 N 2.13
Ag 0.5000 0.5000 0.5000  4 N 3.01, 8 O 3.02
N 0.0000 0.0000 0.5000  2 Cd 2.13
O 0.0000 0.5000 0.0000  2 Cd 2.13
O 0.5000 0.0000 0.0000  2 Cd 2.13

Properties
Raw formation energy   1033 meV per atom
N(E_F)   0.73 states/eV per atom

Computed, not measured: CdAg2OsN after structural relaxation at the GGA-PBE level of DFT.

a b c (Å): 5.0055 5.0055 5.2099
angles (deg): 90.00 90.00 90.00
Closest atoms and distances in Å follow each position.
Fractional positions:
Cd 0.0000 0.0000 0.0000  2 Os 2.60
Ag 0.0000 0.5000 0.5000  2 Os 2.50
Ag 0.5000 0.0000 0.5000  2 Os 2.50
Os 0.0000 0.0000 0.5000  4 Ag 2.50, 2 Cd 2.60
N 0.5000 0.5000 0.0000  4 Cd 3.54, 8 Ag 3.61

Properties
Raw formation energy   2513 meV per atom
N(E_F)   2.98 states/eV per atom

Computed, not measured: Cd2AgPN after structural relaxation at the GGA-PBE level of DFT.

a b c (Å): 5.2572 5.2572 3.3946
angles (deg): 90.00 90.00 90.00
Closest atoms and distances in Å follow each position.
Fractional positions:
Cd 0.0000 0.5000 0.0000  2 N 2.63
Cd 0.5000 0.0000 0.0000  2 N 2.63
Ag 0.0000 0.0000 0.5000  8 Cd 3.13, 2 Ag 3.39
P 0.5000 0.5000 0.5000  2 N 1.70
N 0.5000 0.5000 0.0000  2 P 1.70

Properties
Raw formation energy   569 meV per atom
N(E_F)   0.45 states/eV per atom

Number 1: total magnetic moment 1.46 μB per formula unit. Number 2: total magnetic moment 2.96 μB per formula unit. Number 3: total magnetic moment 0.00 μB per formula unit. Number 4: total magnetic moment 0.00 μB per formula unit.